{"formula": "TbScAlIn", "functional": "GGA-PBE", "state": "optimized geometry", "lattice": [[3.542, 0.000, 0.000], [0.000, 3.542, 0.000], [0.000, 0.000, 7.330]], "species": ["Tb", "Sc", "Al", "In"], "fractional_positions": [[0.000, 0.000, 0.000], [0.000, 0.000, 0.476], [0.500, 0.500, 0.258], [0.500, 0.500, 0.716]], "sg": "No. 99", "formation_enthalpy_0k_ev_per_atom": -0.4209, "m_tot_mub_per_fu": 0.00, "final_energy_ev_per_atom": -4.78, "density_g_cm3": 6.24}

{"formula": "MnTcAu2Br", "functional": "GGA-PBE", "state": "optimized geometry", "lattice": [[5.064, 0.000, 0.000], [0.000, 5.064, 0.000], [0.000, 0.000, 4.554]], "species": ["Mn", "Tc", "Au", "Au", "Br"], "fractional_positions": [[0.000, 0.000, 0.000], [0.500, 0.500, 0.000], [0.000, 0.500, 0.500], [0.500, 0.000, 0.500], [0.000, 0.000, 0.500]], "sg": "No. 123", "raw_formation_energy_mev_per_atom": 1586.5, "m_tot_mub_per_fu": 7.20, "final_energy_ev_per_atom": -3.97, "density_g_cm3": 8.91}